[1]
Entry from the Alexandria database: a relaxed LaCrMo crystal (PBE).

E above lowest polymorph   0.0 meV/atom
DFT total energy   -8.007 eV/atom
Energy relative to the elements   0.453 eV/atom
Symmetry   I4mm, No. 107

abc: 3.1931 3.1931 11.8380
angles: 90.00 90.00 90.00
Last column: nearest neighbours and their distance in Å.
Element x y z (fractional)
1 La 0.0000 0.0000 0.0000  4 La 3.19, 5 Cr 3.29-3.52, 5 Mo 3.33-3.47
2 La 0.5000 0.5000 0.5000  4 La 3.19, 5 Cr 3.29-3.52, 5 Mo 3.33-3.47
3 Cr 0.0000 0.0000 0.2976  4 Mo 2.50
4 Cr 0.5000 0.5000 0.7976  4 Mo 2.50
5 Mo 0.0000 0.0000 0.7068  4 Cr 2.50
6 Mo 0.5000 0.5000 0.2068  4 Cr 2.50

***

[2]
Entry from the Alexandria database: a relaxed La3CrMo crystal (PBE).

DFT total energy   -6.163 eV/atom
Energy relative to the elements   0.885 eV/atom
Symmetry   Pm-3m, No. 221

abc: 5.2856 5.2856 5.2856
angles: 90.00 90.00 90.00
Last column: nearest neighbours and their distance in Å.
Element x y z (fractional)
1 La 0.0000 0.0000 0.5000  2 Cr 2.64
2 La 0.0000 0.5000 0.0000  2 Cr 2.64
3 La 0.5000 0.0000 0.0000  2 Cr 2.64
4 Cr 0.0000 0.0000 0.0000  6 La 2.64
5 Mo 0.5000 0.5000 0.5000  12 La 3.74

***

[3]
Entry from the Alexandria database: a relaxed LaCr4Mo crystal (PBE).

DFT total energy   -8.508 eV/atom
Energy relative to the elements   0.534 eV/atom
Symmetry   F-43m, No. 216

abc: 5.0663 5.0663 5.0663
angles: 60.00 60.00 60.00
Last column: nearest neighbours and their distance in Å.
Element x y z (fractional)
1 La 0.0000 0.0000 0.0000  12 Cr 2.97, 4 Mo 3.10
2 Cr 0.3760 0.3760 0.3760  6 Cr 2.51-2.55
3 Cr 0.3760 0.3760 0.8720  6 Cr 2.51-2.55
4 Cr 0.3760 0.8720 0.3760  6 Cr 2.51-2.55
5 Cr 0.8720 0.3760 0.3760  6 Cr 2.51-2.55
6 Mo 0.7500 0.7500 0.7500  12 Cr 2.97, 4 La 3.10

***

[4]
Entry from the Alexandria database: a relaxed LaCrMo crystal (PBE).

E above lowest polymorph   101.5 meV/atom
DFT total energy   -7.906 eV/atom
Energy relative to the elements   0.555 eV/atom
Symmetry   P-6m2, No. 187

abc: 3.9880 3.9880 4.9530
angles: 90.00 90.00 120.00
Last column: nearest neighbours and their distance in Å.
Element x y z (fractional)
1 La 0.0000 0.0000 0.0000  6 Cr 3.38, 6 Mo 3.38
2 Cr 0.6667 0.3333 0.5000  3 Mo 2.30
3 Mo 0.3333 0.6667 0.5000  3 Cr 2.30